[1]
NaCrNi2 | PBE | optimized geometry

Computed properties:
Space-group type: I-42d (122)
Uncorrected energy (eV/atom): -4.81
Formation enthalpy at 0 K (kJ/mol of atoms): 78

abc: 6.774 6.774 5.473
angles: 51.77 51.77 90.00
Site moments in Bohr magnetons follow the coordinates.
Fractional positions:
Na: 0.250 0.750 0.500  0.01
Ni: 0.659 0.125 0.250  0.03
Ni: 0.875 0.909 0.750  0.05
Cr: 0.000 0.000 0.000  2.68
Ni: 0.091 0.625 0.250  0.02
Cr: 0.750 0.250 0.500  2.68
Na: 0.500 0.500 0.000  0.01
Ni: 0.375 0.341 0.750  0.06


[2]
Na2CrNi | PBE | optimized geometry

Computed properties:
Space-group type: Fm-3m (225)
Uncorrected energy (eV/atom): -3.62
Formation enthalpy at 0 K (kJ/mol of atoms): 86

abc: 4.834 4.834 4.834
angles: 60.00 60.00 60.00
Site moments in Bohr magnetons follow the coordinates.
Fractional positions:
Ni: 0.500 0.500 0.500  -0.11
Na: 0.250 0.250 0.250  0.01
Cr: 0.000 0.000 0.000  4.06
Na: 0.750 0.750 0.750  0.01


[3]
NaCrNi3 | PBE | optimized geometry

Computed properties:
Energy above the most stable polymorph in this dataset (eV/atom): 0.000
Space-group type: Pm-3m (221)
Uncorrected energy (eV/atom): -4.74
Formation enthalpy at 0 K (kJ/mol of atoms): 89

abc: 4.346 4.346 4.346
angles: 90.00 90.00 90.00
Fractional positions:
Ni: 0.000 0.000 0.500
Na: 0.500 0.500 0.500
Ni: 0.000 0.500 0.000
Ni: 0.500 0.000 0.000
Cr: 0.000 0.000 0.000


[4]
NaCr3Ni | PBE | optimized geometry

Computed properties:
Space-group type: Pm-3m (221)
Uncorrected energy (eV/atom): -6.06
Formation enthalpy at 0 K (kJ/mol of atoms): 109

abc: 4.696 4.696 4.696
angles: 90.00 90.00 90.00
Site moments in Bohr magnetons follow the coordinates.
Fractional positions:
Na: 0.500 0.500 0.500  0.01
Cr: 0.000 0.500 0.000  3.48
Cr: 0.000 0.000 0.500  3.57
Cr: 0.500 0.000 0.000  3.55
Ni: 0.000 0.000 0.000  0.39


[5]
NaCr2Ni | PBE | optimized geometry

Computed properties:
Energy above the most stable polymorph in this dataset (eV/atom): 0.212
Space-group type: I-42d (122)
Uncorrected energy (eV/atom): -5.45
Formation enthalpy at 0 K (kJ/mol of atoms): 110

abc: 3.475 3.475 9.780
angles: 79.77 79.77 90.00
Fractional positions:
Na: 0.500 0.500 0.000
Cr: 0.375 0.320 0.750
Cr: 0.875 0.930 0.750
Na: 0.250 0.750 0.500
Cr: 0.070 0.625 0.250
Ni: 0.750 0.250 0.500
Ni: 0.000 0.000 0.000
Cr: 0.680 0.125 0.250